No. 1
VASP calculation (PBE-GGA) on a relaxed InReOs2 crystal.

Geometry as POSCAR:
```
InReOs2
1.0
-2.9042 3.5619 -1.7549
-4.5445 1.2589 -1.4011
-1.6941 1.8400 4.1227
In Os Re
1 2 1
direct
0.7460 0.7460 0.7665 In
0.2550 0.2550 0.2709 Os
0.9865 0.9865 0.0002 Os
0.5125 0.5125 0.4624 Re
```

Calculated values
Its total energy is -8.958 eV per atom. Its symmetry is Cm, No. 8. The calculated density comes out at 17.80 Mg/m³.

---

No. 2
VASP calculation (PBE-GGA) on a relaxed InReOs2 crystal.

Geometry as POSCAR:
```
InReOs2
1.0
4.7873 -0.0320 0.0000
1.3735 4.5862 0.0000
-3.0804 -2.2771 2.8715
Os Re In
2 1 1
direct
0.0000 0.0000 0.0000 Os
0.5000 0.5000 0.0000 Os
0.2500 0.7500 0.5000 Re
0.7500 0.2500 0.5000 In
```

Calculated values
Its total energy is -8.845 eV per atom. Its symmetry is I4/mmm, No. 139. The calculated density comes out at 17.91 Mg/m³.

---

No. 3
VASP calculation (PBE-GGA) on a relaxed In3ReOs crystal.

Geometry as POSCAR:
```
In3ReOs
1.0
5.1453 0.0000 0.0000
0.0000 5.1453 0.0000
0.0000 0.0000 5.1453
In Os Re
3 1 1
direct
0.0000 0.5000 0.0000 In
0.0000 0.0000 0.5000 In
0.5000 0.0000 0.0000 In
0.0000 0.0000 0.0000 Os
0.5000 0.5000 0.5000 Re
```

Calculated values
Its total energy is -4.980 eV per atom. Its symmetry is Pm-3m, No. 221. The calculated density comes out at 8.79 Mg/m³.

---

No. 4
VASP calculation (PBE-GGA) on a relaxed In2ReOs crystal.

Geometry as POSCAR:
```
In2ReOs
1.0
2.9622 0.0000 0.0000
0.0000 2.9622 0.0000
0.0000 0.0000 8.6686
In Os Re
2 1 1
direct
0.5000 0.5000 0.2920 In
0.0000 0.0000 0.9594 In
0.0000 0.0000 0.5362 Os
0.5000 0.5000 0.7123 Re
```

Calculated values
Its total energy is -7.019 eV per atom. Its symmetry is P4mm, No. 99. The calculated density comes out at 13.23 Mg/m³.

---

- Among the records above, which one has the highest calculated density?
  number 2